Entry 1:
Cd4Mo: optimized geometry, GGA-PBEsol.

final energy: -2.8861 eV per atom
energy of formation from the pure elements: 425.0 meV per atom

```
data_Cd4Mo
_cell_length_a 6.7700
_cell_length_b 6.7700
_cell_length_c 4.1611
_cell_angle_alpha 90.00
_cell_angle_beta 90.00
_cell_angle_gamma 90.00
_space_group_name_H-M_alt 'I 4/m'
_space_group_IT_number 87
_space_group_name_Hall '-I 4'
loop_
_atom_site_label
_atom_site_fract_x
_atom_site_fract_y
_atom_site_fract_z
_atom_site_occupancy
Cd1 0.1008 0.7049 0.0000 1
Mo1 0.0000 0.0000 0.5000 1
```

***

Entry 2:
BaZn2Hg2: optimized geometry, GGA-PBEsol.

final energy: -1.5959 eV per atom
energy of formation from the pure elements: -306.6 meV per atom

```
data_BaZn2Hg2
_cell_length_a 4.6187
_cell_length_b 4.6187
_cell_length_c 11.4105
_cell_angle_alpha 90.00
_cell_angle_beta 90.00
_cell_angle_gamma 90.00
_space_group_name_H-M_alt 'I 4/m m m'
_space_group_IT_number 139
_space_group_name_Hall '-I 4 2'
loop_
_atom_site_label
_atom_site_fract_x
_atom_site_fract_y
_atom_site_fract_z
_atom_site_occupancy
Ba1 0.0000 0.0000 0.0000 1
Zn1 0.0000 0.5000 0.2500 1
Hg1 0.0000 0.0000 0.3705 1
```

***

Entry 3:
Cd2InHg: optimized geometry, GGA-PBEsol.

final energy: -1.4783 eV per atom
energy of formation from the pure elements: 7.6 meV per atom

```
data_Cd2InHg
_cell_length_a 4.4493
_cell_length_b 4.4493
_cell_length_c 8.9370
_cell_angle_alpha 90.00
_cell_angle_beta 90.00
_cell_angle_gamma 90.00
_space_group_name_H-M_alt 'I 4/m m m'
_space_group_IT_number 139
_space_group_name_Hall '-I 4 2'
loop_
_atom_site_label
_atom_site_fract_x
_atom_site_fract_y
_atom_site_fract_z
_atom_site_occupancy
Cd1 0.0000 0.5000 0.2500 1
In1 0.0000 0.0000 0.0000 1
Hg1 0.0000 0.0000 0.5000 1
```

***

Entry 4:
ScAlTeI2: optimized geometry, GGA-PBEsol.

final energy: -3.9731 eV per atom
formation energy without anion corrections: -0.42 eV/atom

```
data_ScAlTeI2
_cell_length_a 5.6389
_cell_length_b 5.6389
_cell_length_c 5.5438
_cell_angle_alpha 90.00
_cell_angle_beta 90.00
_cell_angle_gamma 90.00
_space_group_name_H-M_alt 'P 4/m m m'
_space_group_IT_number 123
_space_group_name_Hall '-P 4 2'
loop_
_atom_site_label
_atom_site_fract_x
_atom_site_fract_y
_atom_site_fract_z
_atom_site_occupancy
Sc1 0.0000 0.0000 0.0000 1
Al1 0.5000 0.5000 0.5000 1
Te1 0.0000 0.0000 0.5000 1
I1 0.0000 0.5000 0.0000 1
```

***

Entry 5:
ReMoAs2: optimized geometry, GGA-PBEsol.

final energy: -8.3631 eV per atom
energy of formation from the pure elements: 465.1 meV per atom

```
data_ReMoAs2
_cell_length_a 3.0625
_cell_length_b 4.0133
_cell_length_c 5.0571
_cell_angle_alpha 90.00
_cell_angle_beta 90.00
_cell_angle_gamma 90.00
_space_group_name_H-M_alt 'P m m m'
_space_group_IT_number 47
_space_group_name_Hall '-P 2 2'
loop_
_atom_site_label
_atom_site_fract_x
_atom_site_fract_y
_atom_site_fract_z
_atom_site_occupancy
Re1 0.0000 0.0000 0.0000 1
Mo1 0.5000 0.0000 0.5000 1
As1 0.0000 0.5000 0.5000 1
As2 0.5000 0.5000 0.0000 1
```

***

Entry 6:
Ag3Ir: optimized geometry, GGA-PBEsol.

final energy: -4.4708 eV per atom
energy of formation from the pure elements: 468.4 meV per atom

```
data_Ag3Ir
_cell_length_a 6.3344
_cell_length_b 6.3344
_cell_length_c 6.3344
_cell_angle_alpha 90.00
_cell_angle_beta 90.00
_cell_angle_gamma 90.00
_space_group_name_H-M_alt 'F m -3 m'
_space_group_IT_number 225
_space_group_name_Hall '-F 4 2 3'
loop_
_atom_site_label
_atom_site_fract_x
_atom_site_fract_y
_atom_site_fract_z
_atom_site_occupancy
Ag1 0.0000 0.0000 0.0000 1
Ag2 0.2500 0.2500 0.2500 1
Ir1 0.0000 0.0000 0.5000 1
```

***

Entry 7:
Ni2PPt: optimized geometry, GGA-PBEsol.

final energy: -6.5264 eV per atom
energy of formation from the pure elements: -258.9 meV per atom

```
data_Ni2PPt
_cell_length_a 2.7680
_cell_length_b 2.7680
_cell_length_c 6.1331
_cell_angle_alpha 90.00
_cell_angle_beta 90.00
_cell_angle_gamma 90.00
_space_group_name_H-M_alt 'P 4/m m m'
_space_group_IT_number 123
_space_group_name_Hall '-P 4 2'
loop_
_atom_site_label
_atom_site_fract_x
_atom_site_fract_y
_atom_site_fract_z
_atom_site_occupancy
Ni1 0.0000 0.0000 0.2065 1
P1 0.5000 0.5000 0.0000 1
Pt1 0.5000 0.5000 0.5000 1
```

***

Entry 8:
ScMo3: optimized geometry, GGA-PBEsol.

final energy: -10.3737 eV per atom
energy of formation from the pure elements: 103.5 meV per atom

```
data_ScMo3
_cell_length_a 3.1387
_cell_length_b 3.1387
_cell_length_c 6.6521
_cell_angle_alpha 90.00
_cell_angle_beta 90.00
_cell_angle_gamma 90.00
_space_group_name_H-M_alt 'P 4/m m m'
_space_group_IT_number 123
_space_group_name_Hall '-P 4 2'
loop_
_atom_site_label
_atom_site_fract_x
_atom_site_fract_y
_atom_site_fract_z
_atom_site_occupancy
Sc1 0.0000 0.0000 0.0000 1
Mo1 0.0000 0.0000 0.5000 1
Mo2 0.5000 0.5000 0.2743 1
```

***

Please write out number 8 again, unchanged.
ScMo3: optimized geometry, GGA-PBEsol.

final energy: -10.3737 eV per atom
energy of formation from the pure elements: 103.5 meV per atom

```
data_ScMo3
_cell_length_a 3.1387
_cell_length_b 3.1387
_cell_length_c 6.6521
_cell_angle_alpha 90.00
_cell_angle_beta 90.00
_cell_angle_gamma 90.00
_space_group_name_H-M_alt 'P 4/m m m'
_space_group_IT_number 123
_space_group_name_Hall '-P 4 2'
loop_
_atom_site_label
_atom_site_fract_x
_atom_site_fract_y
_atom_site_fract_z
_atom_site_occupancy
Sc1 0.0000 0.0000 0.0000 1
Mo1 0.0000 0.0000 0.5000 1
Mo2 0.5000 0.5000 0.2743 1
```